Entry 1:
Computed, not measured: an optimized crystal structure of CaZrReNi2 at the PBE level of DFT.

CIF file:
```
data_CaZrReNi2
_chemical_formula_sum 'Ca1 Zr1 Re1 Ni2'
_cell_length_a 4.780
_cell_length_b 4.780
_cell_length_c 4.777
_cell_angle_alpha 90.00
_cell_angle_beta 90.00
_cell_angle_gamma 90.00
_symmetry_space_group_name_H-M 'P 1'
_symmetry_Int_Tables_number 1
loop_
_symmetry_equiv_pos_as_xyz
'x,y,z'
loop_
_atom_site_label
_atom_site_type_symbol
_atom_site_fract_x
_atom_site_fract_y
_atom_site_fract_z
Ca1 Ca 0.000 0.000 0.000
Zr1 Zr 0.500 0.500 0.000
Re1 Re 0.500 0.500 0.500
Ni1 Ni 0.000 0.500 0.500
Ni2 Ni 0.500 0.000 0.500
```

Results
As for the total energy: -31.42 eV/cell. The volume is 109 Å³ per cell.



Entry 2:
Computed, not measured: an optimized crystal structure of ZrReNi2 at the PBE level of DFT.

CIF file:
```
data_ZrReNi2
_chemical_formula_sum 'Zr1 Re1 Ni2'
_cell_length_a 3.911
_cell_length_b 3.911
_cell_length_c 3.770
_cell_angle_alpha 90.00
_cell_angle_beta 90.00
_cell_angle_gamma 90.00
_symmetry_space_group_name_H-M 'P 1'
_symmetry_Int_Tables_number 1
loop_
_symmetry_equiv_pos_as_xyz
'x,y,z'
loop_
_atom_site_label
_atom_site_type_symbol
_atom_site_fract_x
_atom_site_fract_y
_atom_site_fract_z
Zr1 Zr 0.000 0.000 0.000
Re1 Re 0.500 0.500 0.000
Ni1 Ni 0.000 0.500 0.500
Ni2 Ni 0.500 0.000 0.500
```

Results
The calculation puts the energy above the most stable polymorph in this dataset at 7 meV/atom. As for the total energy: -32.97 eV/cell. The volume is 58 Å³ per cell.



Entry 3:
Computed, not measured: an optimized crystal structure of Na3Tm3GeSe8 at the PBE level of DFT.

CIF file:
```
data_Na3Tm3GeSe8
_chemical_formula_sum 'Na3 Tm3 Ge1 Se8'
_cell_length_a 8.489
_cell_length_b 8.489
_cell_length_c 8.489
_cell_angle_alpha 56.52
_cell_angle_beta 56.52
_cell_angle_gamma 56.52
_symmetry_space_group_name_H-M 'P 1'
_symmetry_Int_Tables_number 1
loop_
_symmetry_equiv_pos_as_xyz
'x,y,z'
loop_
_atom_site_label
_atom_site_type_symbol
_atom_site_fract_x
_atom_site_fract_y
_atom_site_fract_z
Na1 Na 0.000 0.500 0.500
Na2 Na 0.500 0.000 0.500
Na3 Na 0.500 0.500 0.000
Tm1 Tm 0.000 0.000 0.500
Tm2 Tm 0.000 0.500 0.000
Tm3 Tm 0.500 0.000 0.000
Ge1 Ge 0.500 0.500 0.500
Se1 Se 0.242 0.242 0.242
Se2 Se 0.259 0.728 0.728
Se3 Se 0.272 0.272 0.741
Se4 Se 0.272 0.741 0.272
Se5 Se 0.728 0.259 0.728
Se6 Se 0.728 0.728 0.259
Se7 Se 0.741 0.272 0.272
Se8 Se 0.758 0.758 0.758
```

Results
The calculation puts the formation energy without anion corrections at -1.3386 eV per atom. As for the total energy: -69.94 eV/cell. The volume is 398 Å³ per cell.



Entry 4:
Computed, not measured: an optimized crystal structure of CoRh2Se at the PBE level of DFT.

CIF file:
```
data_CoRh2Se
_chemical_formula_sum 'Co1 Rh2 Se1'
_cell_length_a 4.477
_cell_length_b 4.477
_cell_length_c 2.909
_cell_angle_alpha 90.00
_cell_angle_beta 90.00
_cell_angle_gamma 101.60
_symmetry_space_group_name_H-M 'P 1'
_symmetry_Int_Tables_number 1
loop_
_symmetry_equiv_pos_as_xyz
'x,y,z'
loop_
_atom_site_label
_atom_site_type_symbol
_atom_site_fract_x
_atom_site_fract_y
_atom_site_fract_z
Co1 Co 0.000 0.000 0.000
Rh1 Rh 0.000 0.500 0.500
Rh2 Rh 0.500 0.000 0.500
Se1 Se 0.500 0.500 0.000
```

Results
The calculation puts the formation energy without anion corrections at 0.1700 eV per atom. As for the total energy: -24.61 eV/cell. The volume is 57 Å³ per cell.



Entry 5:
Computed, not measured: an optimized crystal structure of Ba3LiTa at the PBE level of DFT.

CIF file:
```
data_Ba3LiTa
_chemical_formula_sum 'Ba3 Li1 Ta1'
_cell_length_a 6.242
_cell_length_b 6.242
_cell_length_c 6.242
_cell_angle_alpha 90.00
_cell_angle_beta 90.00
_cell_angle_gamma 90.00
_symmetry_space_group_name_H-M 'P 1'
_symmetry_Int_Tables_number 1
loop_
_symmetry_equiv_pos_as_xyz
'x,y,z'
loop_
_atom_site_label
_atom_site_type_symbol
_atom_site_fract_x
_atom_site_fract_y
_atom_site_fract_z
Ba1 Ba 0.000 0.000 0.500
Ba2 Ba 0.000 0.500 0.000
Ba3 Ba 0.500 0.000 0.000
Li1 Li 0.500 0.500 0.500
Ta1 Ta 0.000 0.000 0.000
```

Results
The calculation puts the energy above the most stable polymorph in this dataset at 0 meV/atom. As for the total energy: -15.29 eV/cell. The volume is 243 Å³ per cell.



Entry 6:
Computed, not measured: an optimized crystal structure of AcDyC3N6 at the PBE level of DFT.

CIF file:
```
data_AcDyC3N6
_chemical_formula_sum 'Ac1 Dy1 C3 N6'
_cell_length_a 6.405
_cell_length_b 6.405
_cell_length_c 6.405
_cell_angle_alpha 64.18
_cell_angle_beta 64.18
_cell_angle_gamma 64.18
_symmetry_space_group_name_H-M 'P 1'
_symmetry_Int_Tables_number 1
loop_
_symmetry_equiv_pos_as_xyz
'x,y,z'
loop_
_atom_site_label
_atom_site_type_symbol
_atom_site_fract_x
_atom_site_fract_y
_atom_site_fract_z
Ac1 Ac 0.000 0.000 0.000
Dy1 Dy 0.640 0.640 0.640
C1 C 0.114 0.569 0.757
C2 C 0.569 0.757 0.114
C3 C 0.757 0.114 0.569
N1 N 0.226 0.692 0.744
N2 N 0.449 0.772 0.997
N3 N 0.692 0.744 0.226
N4 N 0.744 0.226 0.692
N5 N 0.772 0.997 0.449
N6 N 0.997 0.449 0.772
```

Results
The calculation puts the formation energy without anion corrections at -0.7619 eV per atom. As for the total energy: -94.72 eV/cell. The volume is 203 Å³ per cell.



Entry 7:
Computed, not measured: an optimized crystal structure of BeIrS2Cl at the PBE level of DFT.

CIF file:
```
data_BeIrS2Cl
_chemical_formula_sum 'Be1 Ir1 S2 Cl1'
_cell_length_a 4.628
_cell_length_b 4.628
_cell_length_c 4.842
_cell_angle_alpha 90.00
_cell_angle_beta 90.00
_cell_angle_gamma 90.00
_symmetry_space_group_name_H-M 'P 1'
_symmetry_Int_Tables_number 1
loop_
_symmetry_equiv_pos_as_xyz
'x,y,z'
loop_
_atom_site_label
_atom_site_type_symbol
_atom_site_fract_x
_atom_site_fract_y
_atom_site_fract_z
Be1 Be 0.000 0.000 0.000
Ir1 Ir 0.500 0.500 0.500
S1 S 0.000 0.500 0.500
S2 S 0.500 0.000 0.500
Cl1 Cl 0.500 0.500 0.000
```

Results
The calculation puts the energy above the most stable polymorph in this dataset at 27 meV/atom. The calculation puts the formation energy without anion corrections at 0.7468 eV per atom. As for the total energy: -18.95 eV/cell. The volume is 104 Å³ per cell.



Entry 8:
Computed, not measured: an optimized crystal structure of LiZnRu at the PBE level of DFT.

CIF file:
```
data_LiZnRu
_chemical_formula_sum 'Li1 Zn1 Ru1'
_cell_length_a 4.087
_cell_length_b 4.087
_cell_length_c 4.087
_cell_angle_alpha 60.00
_cell_angle_beta 60.00
_cell_angle_gamma 60.00
_symmetry_space_group_name_H-M 'P 1'
_symmetry_Int_Tables_number 1
loop_
_symmetry_equiv_pos_as_xyz
'x,y,z'
loop_
_atom_site_label
_atom_site_type_symbol
_atom_site_fract_x
_atom_site_fract_y
_atom_site_fract_z
Li1 Li 0.000 0.000 0.000
Zn1 Zn 0.250 0.250 0.250
Ru1 Ru 0.500 0.500 0.500
```

Results
The calculation puts the energy above the most stable polymorph in this dataset at 541 meV/atom. As for the total energy: -10.90 eV/cell. The volume is 48 Å³ per cell.